# 1
# EuLuSnPd, optimized geometry, DFT PBE
data_EuLuSnPd
_chemical_formula_sum 'Eu4 Lu4 Sn4 Pd4'
_cell_length_a 7.350
_cell_length_b 7.350
_cell_length_c 7.350
_cell_angle_alpha 90.00
_cell_angle_beta 90.00
_cell_angle_gamma 90.00
_space_group_name_H-M_alt 'F -4 3 m'
_space_group_IT_number 216
_space_group_name_Hall 'F -4 2 3'
loop_
_atom_site_label
_atom_site_type_symbol
_atom_site_fract_x
_atom_site_fract_y
_atom_site_fract_z
Eu1 Eu 0.000 0.000 0.000
Lu1 Lu 0.000 0.000 0.500
Sn1 Sn 0.250 0.250 0.250
Pd1 Pd 0.250 0.250 0.750
# ΔE_f ... -0.646 eV per atom
# Magnetic moment ... 6.887 μB per formula unit
# Crystal system ... cubic

=====

# 2
# EuLuTlPd, optimized geometry, DFT PBE
data_EuLuTlPd
_chemical_formula_sum 'Eu4 Lu4 Tl4 Pd4'
_cell_length_a 7.381
_cell_length_b 7.381
_cell_length_c 7.381
_cell_angle_alpha 90.00
_cell_angle_beta 90.00
_cell_angle_gamma 90.00
_space_group_name_H-M_alt 'F -4 3 m'
_space_group_IT_number 216
_space_group_name_Hall 'F -4 2 3'
loop_
_atom_site_label
_atom_site_type_symbol
_atom_site_fract_x
_atom_site_fract_y
_atom_site_fract_z
Eu1 Eu 0.000 0.000 0.000
Lu1 Lu 0.000 0.000 0.500
Tl1 Tl 0.250 0.250 0.250
Pd1 Pd 0.250 0.250 0.750
# ΔE_f ... -0.463 eV per atom
# Magnetic moment ... 7.004 μB per formula unit
# Crystal system ... cubic

=====

# 3
# EuLuZnPd, optimized geometry, DFT PBE
data_EuLuZnPd
_chemical_formula_sum 'Eu4 Lu4 Zn4 Pd4'
_cell_length_a 7.123
_cell_length_b 7.123
_cell_length_c 7.123
_cell_angle_alpha 90.00
_cell_angle_beta 90.00
_cell_angle_gamma 90.00
_space_group_name_H-M_alt 'F -4 3 m'
_space_group_IT_number 216
_space_group_name_Hall 'F -4 2 3'
loop_
_atom_site_label
_atom_site_type_symbol
_atom_site_fract_x
_atom_site_fract_y
_atom_site_fract_z
Eu1 Eu 0.000 0.000 0.000
Lu1 Lu 0.000 0.000 0.500
Zn1 Zn 0.250 0.250 0.250
Pd1 Pd 0.250 0.250 0.750
# ΔE_f ... -0.496 eV per atom
# Magnetic moment ... 6.943 μB per formula unit
# Crystal system ... cubic

=====

# 4
# PmEuLu, optimized geometry, DFT PBE
data_PmEuLu
_chemical_formula_sum 'Pm1 Eu1 Lu1'
_cell_length_a 3.6414
_cell_length_b 3.6414
_cell_length_c 8.9439
_cell_angle_alpha 90.00
_cell_angle_beta 90.00
_cell_angle_gamma 120.00
_space_group_name_H-M_alt 'P 3 m 1'
_space_group_IT_number 156
loop_
_space_group_symop_operation_xyz
'x,y,z'
'-y,x-y,z'
'-x+y,-x,z'
'-y,-x,z'
'-x+y,y,z'
'x,x-y,z'
loop_
_atom_site_label
_atom_site_type_symbol
_atom_site_fract_x
_atom_site_fract_y
_atom_site_fract_z
Pm1 Pm 0.0000 0.0000 0.0000
Eu1 Eu 0.3333 0.6667 0.6458
Lu1 Lu 0.6667 0.3333 0.3101
# ΔE_f ... 0.061 eV per atom
# Magnetic moment ... 7.348 μB per formula unit
# Crystal system ... trigonal

=====

# 5
# PmEuLu, optimized geometry, DFT PBE
data_PmEuLu
_chemical_formula_sum 'Pm2 Eu2 Lu2'
_cell_length_a 3.663
_cell_length_b 3.663
_cell_length_c 15.383
_cell_angle_alpha 90.00
_cell_angle_beta 90.00
_cell_angle_gamma 90.00
_space_group_name_H-M_alt 'I 4 m m'
_space_group_IT_number 107
_space_group_name_Hall 'I 4 -2'
loop_
_atom_site_label
_atom_site_type_symbol
_atom_site_fract_x
_atom_site_fract_y
_atom_site_fract_z
Pm1 Pm 0.000 0.000 0.000
Eu1 Eu 0.000 0.000 0.678
Lu1 Lu 0.000 0.000 0.350
# ΔE_f ... 0.061 eV per atom
# Magnetic moment ... 7.161 μB per formula unit
# Crystal system ... tetragonal

=====

# 6
# PmPrEuLu, optimized geometry, DFT PBE
data_PmPrEuLu
_chemical_formula_sum 'Pm4 Pr4 Eu4 Lu4'
_cell_length_a 8.233
_cell_length_b 8.233
_cell_length_c 8.233
_cell_angle_alpha 90.00
_cell_angle_beta 90.00
_cell_angle_gamma 90.00
_space_group_name_H-M_alt 'F -4 3 m'
_space_group_IT_number 216
_space_group_name_Hall 'F -4 2 3'
loop_
_atom_site_label
_atom_site_type_symbol
_atom_site_fract_x
_atom_site_fract_y
_atom_site_fract_z
Pm1 Pm 0.000 0.000 0.000
Pr1 Pr 0.000 0.000 0.500
Eu1 Eu 0.250 0.250 0.750
Lu1 Lu 0.250 0.250 0.250
# Energy above the lowest structure with this stoichiometry ... 0.000 eV/atom
# ΔE_f ... 0.126 eV per atom
# Magnetic moment ... 7.569 μB per formula unit
# Crystal system ... cubic

=====

Calculated volume in Å³ per cell, matching the order above: 397; 402; 361; 103; 206; 558